(1)
VASP calculation (PBE) on crystalline CdCuIr at its relaxed geometry.

Lattice parameters (Å, degrees): 2.846 5.010 7.224 70.28 78.67 89.96
Space group P-1 (No. 2)
Symmetry-distinct sites (fractional):
Cd 0.097 0.447 0.307 (multiplicity 2)
Cu 0.239 0.196 0.019 (multiplicity 2)
Ir 0.418 0.068 0.664 (multiplicity 2)

- theoretical density (g/cm3) = 12.89
- DFT total energy (eV per atom) = -4.426
- magnetization (μB/atom) = 0.00
- calculated volume (Å³ per cell) = 94.8
- N(E_F) (states/eV/atom) = 0.77

(2)
VASP calculation (PBE) on crystalline CrSeS at its relaxed geometry.

Lattice parameters (Å, degrees): 5.862 3.385 6.605 90.00 105.16 90.00
Space group Cm (No. 8)
Symmetry-distinct sites (fractional):
Cr 0.000 0.000 0.000 (multiplicity 2)
Se 0.241 0.500 0.252 (multiplicity 2)
S 0.276 0.000 0.805 (multiplicity 2)

- theoretical density (g/cm3) = 4.28
- magnetization (μB/atom) = 0.72
- ΔE_f (raw) (eV per atom) = -0.5097
- calculated volume (Å³ per cell) = 126.5
- N(E_F) (states/eV/atom) = 0.83

(3)
VASP calculation (PBE) on crystalline La2PrHo7 at its relaxed geometry.

Lattice parameters (Å, degrees): 6.587 29.172 3.469 90.00 90.00 90.00
Space group Cmmm (No. 65)
Symmetry-distinct sites (fractional):
La 0.000 0.198 0.000 (multiplicity 4)
Pr 0.000 0.000 0.500 (multiplicity 2)
Ho 0.000 0.309 0.500 (multiplicity 4)
Ho 0.000 0.500 0.000 (multiplicity 2)
Ho 0.246 0.400 0.000 (multiplicity 8)

- theoretical density (g/cm3) = 7.84
- DFT total energy (eV per atom) = -4.468
- magnetization (μB/atom) = 0.00
- calculated volume (Å³ per cell) = 666.5
- N(E_F) (states/eV/atom) = 1.89

(4)
VASP calculation (PBE) on crystalline Zr2WC at its relaxed geometry.

Lattice parameters (Å, degrees): 3.729 3.729 9.641 90.00 90.00 90.00
Space group I-4m2 (No. 119)
Symmetry-distinct sites (fractional):
Zr 0.000 0.000 0.000 (multiplicity 2)
Zr 0.000 0.500 0.250 (multiplicity 2)
W 0.000 0.000 0.500 (multiplicity 2)
C 0.000 0.500 0.750 (multiplicity 2)

- theoretical density (g/cm3) = 9.37
- DFT total energy (eV per atom) = -8.880
- magnetization (μB/atom) = 0.00
- calculated volume (Å³ per cell) = 134.0
- N(E_F) (states/eV/atom) = 1.21

(5)
VASP calculation (PBE) on crystalline Cr2CuIr at its relaxed geometry.

Lattice parameters (Å, degrees): 5.926 5.926 5.926 90.00 90.00 90.00
Space group F-43m (No. 216)
Symmetry-distinct sites (fractional):
Cr 0.000 0.000 0.000 (multiplicity 4)
Cr 0.250 0.250 0.250 (multiplicity 4)
Cu 0.000 0.000 0.500 (multiplicity 4)
Ir 0.250 0.250 0.750 (multiplicity 4)

- theoretical density (g/cm3) = 11.48
- DFT total energy (eV per atom) = -7.952
- magnetization (μB/atom) = 0.41
- calculated volume (Å³ per cell) = 208.1
- N(E_F) (states/eV/atom) = 0.72

(6)
VASP calculation (PBE) on crystalline Li2ScSi at its relaxed geometry.

Lattice parameters (Å, degrees): 3.131 3.131 7.190 90.00 90.00 90.00
Space group P4mm (No. 99)
Symmetry-distinct sites (fractional):
Li 0.000 0.000 0.000 (multiplicity 1)
Li 0.500 0.500 0.235 (multiplicity 1)
Sc 0.000 0.000 0.557 (multiplicity 1)
Si 0.500 0.500 0.802 (multiplicity 1)

- theoretical density (g/cm3) = 2.05
- magnetization (μB/atom) = 0.00
- ΔE_f (raw) (eV per atom) = -0.1818
- calculated volume (Å³ per cell) = 70.5
- N(E_F) (states/eV/atom) = 0.23

(7)
VASP calculation (PBE) on crystalline Nd2Cu2PdPt5 at its relaxed geometry.

Lattice parameters (Å, degrees): 9.373 9.373 4.031 90.00 90.00 90.00
Space group P4/mbm (No. 127)
Symmetry-distinct sites (fractional):
Nd 0.182 0.318 0.000 (multiplicity 4)
Cu 0.116 0.616 0.000 (multiplicity 4)
Pd 0.000 0.000 0.000 (multiplicity 2)
Pt 0.000 0.500 0.500 (multiplicity 2)
Pt 0.062 0.792 0.500 (multiplicity 8)

- theoretical density (g/cm3) = 14.04
- DFT total energy (eV per atom) = -6.001
- magnetization (μB/atom) = 0.00
- calculated volume (Å³ per cell) = 354.2
- N(E_F) (states/eV/atom) = 0.68

(8)
VASP calculation (PBE) on crystalline CaZr2Co at its relaxed geometry.

Lattice parameters (Å, degrees): 4.167 4.167 4.896 90.00 90.00 90.00
Space group P4/mmm (No. 123)
Symmetry-distinct sites (fractional):
Ca 0.000 0.000 0.000 (multiplicity 1)
Zr 0.000 0.500 0.500 (multiplicity 2)
Co 0.500 0.500 0.000 (multiplicity 1)

- theoretical density (g/cm3) = 5.50
- DFT total energy (eV per atom) = -6.096
- magnetization (μB/atom) = 0.00
- calculated volume (Å³ per cell) = 85.0
- N(E_F) (states/eV/atom) = 1.13